Entry from the Alexandria database: a relaxed structure of CuNiOs (PBE).

Output
The energy comes out at -6.737 eV/atom. The space-group type is No. 12. The calculation puts the formation energy at 0.30 eV/atom.

```
12
Lattice="5.0887 0.0000 0.0001 0.0000 3.7703 0.0000 -2.4890 0.0000 7.8415" Properties=species:S:1:pos:R:3 pbc="T T T"
Ni -1.2514 0.0000 5.1488
Os 3.7853 0.0000 0.1041
Cu 1.2943 0.0000 5.2987
Os -1.1856 0.0000 7.7375
Os 0.0589 1.8851 3.8168
Cu 1.3054 0.0000 2.5429
Ni -0.0069 1.8851 1.2281
Ni 3.8511 0.0000 2.6928
Os 2.5408 1.8851 4.0248
Ni 2.6066 1.8851 6.6135
Cu 0.0609 1.8851 6.4636
Cu 2.5388 1.8851 1.3780
```